[1]
Sr2Ca2Pt3 after structural relaxation, computed with GGA-PBE.

Output
**M_tot**: 0.00 μB/f.u.
**Calculated total energy**: -4.439 eV per atom
**E_form**: -798 meV per atom
**Space group**: C2/m

Cell lengths 5.006, 5.009, 9.014 Å; angles 90.00, 106.10, 120.02 degrees
Sites, in units of the cell vectors:
1 Pt 0.494 0.747 0.238
2 Sr 0.246 0.123 0.367
3 Pt 0.000 0.000 0.000
4 Ca 0.257 0.629 0.887
5 Pt 0.506 0.253 0.762
6 Ca 0.743 0.371 0.113
7 Sr 0.754 0.877 0.633

***

[2]
Sr2CaPt after structural relaxation, computed with GGA-PBE.

Output
**Polymorph energy (0 for the lowest one)**: 78 meV per atom
**M_tot**: 0.00 μB/f.u.
**Calculated total energy**: -3.335 eV per atom
**E_form**: -483 meV per atom
**Space group**: Amm2

Cell lengths 4.275, 7.072, 7.073 Å; angles 51.42, 90.00, 90.00 degrees
Sites, in units of the cell vectors:
1 Sr 0.500 0.246 0.246
2 Ca 0.000 0.601 0.601
3 Pt 0.500 0.745 0.745
4 Sr 0.000 0.908 0.908

***

[3]
SrCaPt after structural relaxation, computed with GGA-PBE.

Output
**Polymorph energy (0 for the lowest one)**: 125 meV per atom
**M_tot**: 0.00 μB/f.u.
**Calculated total energy**: -3.866 eV per atom
**E_form**: -624 meV per atom
**Space group**: I4mm

Cell lengths 7.278, 7.278, 3.686 Å; angles 75.33, 75.33, 29.34 degrees
Sites, in units of the cell vectors:
1 Pt 0.340 0.340 0.660
2 Ca 0.955 0.955 0.045
3 Sr 0.705 0.705 0.295

***

[4]
SrCa3Pt after structural relaxation, computed with GGA-PBE.

Output
**Polymorph energy (0 for the lowest one)**: 185 meV per atom
**M_tot**: 0.00 μB/f.u.
**Calculated total energy**: -3.043 eV per atom
**E_form**: -297 meV per atom
**Space group**: Fd-3m

Cell lengths 10.789, 10.789, 10.789 Å; angles 60.00, 60.00, 60.00 degrees
Sites, in units of the cell vectors:
1 Pt 0.625 0.625 0.125
2 Sr 0.625 0.125 0.125
3 Ca 0.682 0.318 0.318
4 Ca 0.318 0.682 0.318
5 Ca 0.932 0.568 0.932
6 Ca 0.682 0.682 0.318
7 Ca 0.318 0.682 0.682
8 Ca 0.318 0.318 0.682
9 Sr 0.125 0.625 0.125
10 Ca 0.932 0.568 0.568
11 Pt 0.125 0.625 0.625
12 Ca 0.568 0.568 0.932
13 Sr 0.125 0.125 0.125
14 Ca 0.682 0.318 0.682
15 Ca 0.568 0.932 0.568
16 Pt 0.625 0.625 0.625
17 Ca 0.932 0.932 0.568
18 Sr 0.125 0.125 0.625
19 Pt 0.625 0.125 0.625
20 Ca 0.568 0.932 0.932

***

[5]
Sr2Ca4Pt after structural relaxation, computed with GGA-PBE.

Output
**M_tot**: 0.00 μB/f.u.
**Calculated total energy**: -2.721 eV per atom
**E_form**: -234 meV per atom
**Space group**: I4/mmm

Cell lengths 5.587, 5.587, 10.829 Å; angles 75.05, 75.05, 90.00 degrees
Sites, in units of the cell vectors:
1 Sr 0.671 0.671 0.658
2 Ca 0.500 0.000 0.000
3 Ca 0.137 0.137 0.726
4 Ca 0.863 0.863 0.274
5 Sr 0.329 0.329 0.342
6 Ca 0.000 0.500 0.000
7 Pt 0.000 0.000 0.000

***

[6]
SrCa2Pt after structural relaxation, computed with GGA-PBE.

Output
**Polymorph energy (0 for the lowest one)**: 408 meV per atom
**M_tot**: 0.00 μB/f.u.
**Calculated total energy**: -3.119 eV per atom
**E_form**: -187 meV per atom
**Space group**: I-4m2

Cell lengths 5.889, 5.889, 5.889 Å; angles 129.70, 129.70, 73.88 degrees
Sites, in units of the cell vectors:
1 Pt 0.500 0.500 0.000
2 Ca 0.000 0.000 0.000
3 Ca 0.250 0.750 0.500
4 Sr 0.750 0.250 0.500